Record 1
## Nb2RhO (GGA-PBE)

Data for a relaxed structure of Nb2RhO.

Summary:
formation energy (no corrections)	-622	meV/atom
DOS at the Fermi energy	5.7	states/eV per cell
calculated total energy	-8.7341	eV/atom
total magnetic moment	0.00	μB/f.u.

Structure (extended XYZ):
```
8
Lattice="4.9774 0.0000 0.0000 0.0000 4.9774 0.0000 2.4887 2.4887 5.6849" Properties=species:S:1:pos:R:3 pbc="T T T"
Nb 3.3168 1.2443 1.4212
Nb 1.6606 3.7330 1.4212
Nb 3.7330 4.1493 4.2637
Nb 6.2217 5.8055 4.2637
Rh 0.0000 0.0000 0.0000
Rh 4.9774 2.4887 2.8424
O 2.4887 2.4887 0.0000
O 2.4887 4.9774 2.8424
```

Record 2
## ScNb2RhO (GGA-PBE)

Data for a relaxed structure of ScNb2RhO.

Summary:
formation energy (no corrections)	1814	meV/atom
DOS at the Fermi energy	6.0	states/eV per cell
calculated total energy	-5.9418	eV/atom
total magnetic moment	0.00	μB/f.u.

Structure (extended XYZ):
```
5
Lattice="4.8719 0.0000 0.0000 0.0000 4.4129 0.0000 0.0000 0.0000 4.8719" Properties=species:S:1:pos:R:3 pbc="T T T"
Sc 0.0000 0.0000 0.0000
Nb 0.0000 0.0000 2.4359
Nb 2.4359 0.0000 0.0000
Rh 0.0000 2.2064 0.0000
O 2.4359 2.2064 2.4359
```

Record 3
## SrNbRhO6 (GGA-PBE)

Data for a relaxed structure of SrNbRhO6.

Summary:
formation energy (no corrections)	-1898	meV/atom
DOS at the Fermi energy	6.1	states/eV per cell
calculated total energy	-7.3259	eV/atom
total magnetic moment	2.03	μB/f.u.

Structure (extended XYZ):
```
18
Lattice="-0.9147 4.9396 1.7701 -3.1733 -4.0013 1.5127 6.3908 -1.8588 8.4898" Properties=species:S:1:pos:R:3 pbc="T T T"
Sr 0.0000 0.0000 0.0000
Sr 3.1954 -0.9294 4.2449
Nb -0.0699 1.4946 3.8067
Nb 2.3726 -2.4152 7.9658
Rh -0.8228 -1.4857 3.7209
Rh 3.1255 0.5651 8.0516
O -1.6149 0.2915 3.3123
O -0.2513 -1.7606 1.8366
O 3.7847 0.6373 6.1773
O 2.5540 0.8400 9.9360
O 0.7122 -0.3223 4.2142
O 0.2511 -3.1441 3.9434
O 4.8546 1.5004 8.3487
O -1.4819 -1.5579 5.5953
O 2.0516 2.2235 7.8292
O -2.5519 -2.4210 3.4238
O 1.5906 -0.5983 7.5584
O 3.9176 -1.2121 8.4602
```

Record 4
## NbTe2RhO (GGA-PBE)

Data for a relaxed structure of NbTe2RhO.

Summary:
formation energy (no corrections)	29	meV/atom
DOS at the Fermi energy	3.6	states/eV per cell
calculated total energy	-5.7034	eV/atom
total magnetic moment	0.00	μB/f.u.

Structure (extended XYZ):
```
5
Lattice="-0.9693 0.3283 -4.8809 3.7545 -0.7368 -0.7951 -0.9871 -4.8866 -0.1327" Properties=species:S:1:pos:R:3 pbc="T T T"
Nb 1.8772 -0.3684 -0.3976
Te -0.4935 -2.4433 -0.0663
Te -0.4846 0.1641 -2.4405
Rh 0.8991 -2.6476 -2.9044
O 0.0000 0.0000 0.0000
```

What is the formation energy (no corrections) in the third record? -1898 meV/atom